# 1
MnZnFe6 | the Alexandria database | PBE | optimized geometry; formation energy = 0.25 eV/f.u.; SG = Cmmm; M_tot = 9.98 μB per formula unit
1.0
6.243 -0.009 0.000
-2.098 5.880 0.000
0.000 0.000 10.223
Fe Mn Zn
24 4 4
Direct
0.249 0.751 0.497 Fe
0.876 0.626 0.623 Fe
0.124 0.374 0.623 Fe
0.751 0.249 0.497 Fe
0.374 0.124 0.623 Fe
0.626 0.876 0.623 Fe
0.500 0.500 0.250 Fe
0.123 0.373 0.373 Fe
0.373 0.123 0.373 Fe
0.249 0.751 0.003 Fe
0.877 0.627 0.127 Fe
0.123 0.373 0.127 Fe
0.751 0.249 0.003 Fe
0.373 0.123 0.127 Fe
0.627 0.877 0.127 Fe
0.500 0.500 0.750 Fe
0.124 0.374 0.877 Fe
0.374 0.124 0.877 Fe
0.000 0.000 0.250 Fe
0.627 0.877 0.373 Fe
0.877 0.627 0.373 Fe
0.000 0.000 0.750 Fe
0.626 0.876 0.877 Fe
0.876 0.626 0.877 Fe
0.248 0.752 0.250 Mn
0.752 0.248 0.250 Mn
0.000 0.000 0.498 Mn
0.000 0.000 0.002 Mn
0.250 0.750 0.750 Zn
0.750 0.250 0.750 Zn
0.500 0.500 0.498 Zn
0.500 0.500 0.002 Zn

# 2
MnZnFe | the Alexandria database | PBE | optimized geometry; excess energy over the best structure of this formula in the dataset = 484.7 meV per atom; formation energy = 1.66 eV/f.u.; SG = F-43m; M_tot = 0.63 μB per formula unit
1.0
3.857 0.000 0.000
1.929 3.341 0.000
1.929 1.114 3.150
Fe Mn Zn
1 1 1
Direct
0.750 0.750 0.750 Fe
0.000 0.000 0.000 Mn
0.500 0.500 0.500 Zn

# 3
Mn2ZnFe | the Alexandria database | PBE | optimized geometry; formation energy = 2.36 eV/f.u.; SG = I-42d; M_tot = 2.16 μB per formula unit
1.0
6.520 0.000 0.000
0.000 6.520 0.000
3.260 3.260 2.441
Zn Mn Fe
2 4 2
Direct
0.000 0.000 0.000 Zn
0.750 0.250 0.500 Zn
0.580 0.125 0.250 Mn
0.170 0.625 0.250 Mn
0.375 0.420 0.750 Mn
0.875 0.830 0.750 Mn
0.500 0.500 0.000 Fe
0.250 0.750 0.500 Fe

# 4
Mn2ZnFe | the Alexandria database | PBE | optimized geometry; formation energy = 0.61 eV/f.u.; SG = P4/mmm; M_tot = 6.33 μB per formula unit
1.0
3.031 0.000 0.000
0.000 4.006 0.000
0.000 0.000 4.006
Fe Mn Zn
1 2 1
Direct
0.500 0.000 0.500 Fe
0.000 0.000 0.000 Mn
0.000 0.500 0.500 Mn
0.500 0.500 0.000 Zn

# 5
MnZnFe | the Alexandria database | PBE | optimized geometry; excess energy over the best structure of this formula in the dataset = 49.2 meV per atom; formation energy = 0.36 eV/f.u.; SG = Imm2; M_tot = 5.52 μB per formula unit
1.0
4.669 -0.093 0.054
2.646 3.848 -0.054
-3.413 -2.352 2.150
Fe Mn Zn
1 1 1
Direct
0.999 0.999 0.000 Fe
0.337 0.337 0.000 Mn
0.665 0.665 0.000 Zn

# 6
Mn2ZnFe | the Alexandria database | PBE | optimized geometry; formation energy = 0.52 eV/f.u.; SG = F-43m; M_tot = 0.06 μB per formula unit
1.0
4.098 0.000 0.000
2.049 3.549 0.000
2.049 1.183 3.346
Fe Mn Zn
1 2 1
Direct
0.500 0.500 0.500 Fe
0.000 0.000 0.000 Mn
0.250 0.250 0.250 Mn
0.750 0.750 0.750 Zn

# 7
Mn2ZnFe | the Alexandria database | PBE | optimized geometry; formation energy = 0.36 eV/f.u.; SG = P4/mmm; M_tot = 2.58 μB per formula unit
1.0
2.575 0.000 0.000
0.000 2.575 0.000
0.000 0.000 7.218
Fe Mn Zn
1 2 1
Direct
0.500 0.500 0.750 Fe
0.000 0.000 0.984 Mn
0.000 0.000 0.516 Mn
0.500 0.500 0.250 Zn

# 8
Mn2ZnFe | the Alexandria database | PBE | optimized geometry; formation energy = 0.62 eV/f.u.; SG = I4/mmm; M_tot = 5.39 μB per formula unit
1.0
4.345 -0.008 0.000
1.170 4.184 0.000
-2.757 -2.088 2.629
Fe Mn Zn
1 2 1
Direct
0.750 0.250 0.500 Fe
0.000 0.000 0.000 Mn
0.500 0.500 0.000 Mn
0.250 0.750 0.500 Zn

# 9
MnZnFe | the Alexandria database | PBE | optimized geometry; excess energy over the best structure of this formula in the dataset = 231.8 meV per atom; formation energy = 0.90 eV/f.u.; SG = C2/m; M_tot = 4.31 μB per formula unit
1.0
-2.336 -0.348 -0.841
-1.077 -1.383 7.298
-2.329 2.953 5.248
Mn Zn Fe
2 2 2
Direct
0.132 0.264 0.730 Mn
0.868 0.736 0.270 Mn
0.308 0.617 0.729 Zn
0.692 0.383 0.271 Zn
0.042 0.083 0.244 Fe
0.958 0.917 0.756 Fe

# 10
Mn2ZnFe | the Alexandria database | PBE | optimized geometry; formation energy = 0.48 eV/f.u.; SG = Cm; M_tot = 2.16 μB per formula unit
1.0
-3.720 0.952 2.238
-3.935 -1.498 1.425
1.186 -1.473 4.127
Fe Mn Zn
1 2 1
Direct
0.254 0.254 0.258 Fe
0.000 0.000 0.988 Mn
0.745 0.745 0.767 Mn
0.501 0.501 0.487 Zn

# 11
MnZnFe | the Alexandria database | PBE | optimized geometry; excess energy over the best structure of this formula in the dataset = 36.6 meV per atom; formation energy = 0.32 eV/f.u.; SG = C2/m; M_tot = 3.11 μB per formula unit
1.0
-0.414 -2.111 2.059
-1.418 0.423 -2.007
10.111 -6.467 -4.590
Mn Zn Fe
2 2 2
Direct
0.946 0.965 0.533 Mn
0.594 0.262 0.685 Mn
0.625 0.324 0.204 Zn
0.915 0.904 0.014 Zn
0.252 0.577 0.845 Fe
0.289 0.651 0.374 Fe

# 12
Mn2ZnFe | the Alexandria database | PBE | optimized geometry; formation energy = 0.65 eV/f.u.; SG = I-4m2; M_tot = 5.06 μB per formula unit
1.0
4.363 0.022 0.000
1.233 4.185 0.000
-2.798 -2.104 2.604
Fe Mn Zn
1 2 1
Direct
0.750 0.250 0.500 Fe
0.000 0.000 0.000 Mn
0.250 0.750 0.500 Mn
0.500 0.500 0.000 Zn

# 13
Mn2ZnFe | the Alexandria database | PBE | optimized geometry; formation energy = 0.53 eV/f.u.; SG = Pmmm; M_tot = 2.53 μB per formula unit
1.0
-2.518 -0.115 0.442
0.571 -2.413 2.625
0.427 3.841 3.438
Fe Mn Zn
1 2 1
Direct
0.500 0.500 0.750 Fe
0.000 0.000 0.989 Mn
0.000 0.000 0.511 Mn
0.500 0.500 0.250 Zn

# 14
Mn2ZnFe | the Alexandria database | PBE | optimized geometry; formation energy = 0.21 eV/f.u.; SG = P4mm; M_tot = 2.23 μB per formula unit
1.0
2.581 0.000 0.000
0.000 2.581 0.000
0.000 0.000 7.180
Zn Mn Fe
1 2 1
Direct
0.000 0.000 0.504 Zn
0.000 0.000 0.996 Mn
0.500 0.500 0.234 Mn
0.500 0.500 0.766 Fe

# 15
MnZn2Fe2 | the Alexandria database | PBE | optimized geometry; excess energy over the best structure of this formula in the dataset = 0.0 meV per atom; formation energy = 1.89 eV/f.u.; SG = P4/mbm; M_tot = 0.00 μB per formula unit
1.0
-3.711 2.042 3.783
-0.505 -5.170 2.295
2.972 0.810 2.479
Zn Mn Fe
4 2 4
Direct
0.174 0.674 0.500 Zn
0.674 0.826 0.500 Zn
0.826 0.326 0.500 Zn
0.326 0.174 0.500 Zn
0.000 0.000 0.000 Mn
0.500 0.500 0.000 Mn
0.367 0.867 0.000 Fe
0.867 0.633 0.000 Fe
0.633 0.133 0.000 Fe
0.133 0.367 0.000 Fe

# 16
Mn2ZnFe | the Alexandria database | PBE | optimized geometry; formation energy = 0.27 eV/f.u.; SG = Pmm2; M_tot = 1.90 μB per formula unit
1.0
2.578 0.000 0.000
0.000 3.594 0.000
0.000 0.000 5.224
Zn Mn Fe
1 2 1
Direct
0.000 0.000 0.504 Zn
0.000 0.000 0.001 Mn
0.500 0.500 0.239 Mn
0.500 0.500 0.756 Fe

# 17
Mn4ZnFe | the Alexandria database | PBE | optimized geometry; formation energy = 1.51 eV/f.u.; SG = F-43m; M_tot = 5.11 μB per formula unit
1.0
2.273 -3.800 -1.429
-0.004 -3.839 2.629
-2.380 -3.756 -1.371
Mn Zn Fe
4 1 1
Direct
0.875 0.375 0.375 Mn
0.375 0.375 0.875 Mn
0.375 0.875 0.375 Mn
0.375 0.375 0.375 Mn
0.750 0.750 0.750 Zn
0.000 0.000 0.000 Fe

# 18
Mn2Zn12Fe | the Alexandria database | PBE | optimized geometry; formation energy = 1.49 eV/f.u.; SG = Pmmm; M_tot = 8.45 μB per formula unit
1.0
-0.453 1.911 4.596
-0.662 -4.943 -0.332
19.469 -2.816 3.088
Mn Zn Fe
4 24 2
Direct
0.500 0.000 0.250 Mn
0.000 0.500 0.250 Mn
0.000 0.500 0.750 Mn
0.500 0.000 0.750 Mn
0.500 0.500 0.810 Zn
0.000 0.000 0.810 Zn
0.750 0.750 0.933 Zn
0.250 0.750 0.883 Zn
0.000 0.000 0.312 Zn
0.250 0.750 0.117 Zn
0.750 0.250 0.615 Zn
0.500 0.500 0.312 Zn
0.250 0.250 0.933 Zn
0.750 0.750 0.067 Zn
0.250 0.250 0.564 Zn
0.750 0.250 0.385 Zn
0.000 0.000 0.688 Zn
0.250 0.250 0.436 Zn
0.250 0.250 0.067 Zn
0.750 0.750 0.436 Zn
0.750 0.750 0.564 Zn
0.000 0.000 0.190 Zn
0.250 0.750 0.615 Zn
0.500 0.500 0.688 Zn
0.750 0.250 0.883 Zn
0.500 0.500 0.190 Zn
0.250 0.750 0.385 Zn
0.750 0.250 0.117 Zn
0.500 0.000 0.000 Fe
0.000 0.500 0.000 Fe

# 19
MnZnFe | the Alexandria database | PBE | optimized geometry; excess energy over the best structure of this formula in the dataset = 43.2 meV per atom; formation energy = 0.34 eV/f.u.; SG = P3m1; M_tot = 0.42 μB per formula unit
1.0
-2.001 0.571 -1.497
1.063 -2.330 -0.115
-3.933 -2.016 4.491
Fe Mn Zn
1 1 1
Direct
0.000 0.000 0.016 Fe
0.667 0.333 0.316 Mn
0.333 0.667 0.668 Zn

# 20
Mn2ZnFe | the Alexandria database | PBE | optimized geometry; formation energy = 0.38 eV/f.u.; SG = R3m; M_tot = 1.92 μB per formula unit
1.0
8.520 0.008 0.004
8.145 2.500 0.004
8.145 1.226 2.179
Fe Mn Zn
1 2 1
Direct
0.746 0.746 0.746 Fe
0.999 0.999 0.999 Mn
0.255 0.255 0.255 Mn
0.500 0.500 0.500 Zn

Number 1: Fermi-level density of states 0.99 states/eV per atom. Number 2: Fermi-level density of states 0.93 states/eV per atom. Number 3: Fermi-level density of states 1.24 states/eV per atom. Number 4: Fermi-level density of states 0.91 states/eV per atom. Number 5: Fermi-level density of states 0.51 states/eV per atom. Number 6: Fermi-level density of states 0.74 states/eV per atom. Number 7: Fermi-level density of states 0.96 states/eV per atom. Number 8: Fermi-level density of states 0.77 states/eV per atom. Number 9: Fermi-level density of states 1.17 states/eV per atom. Number 10: Fermi-level density of states 1.01 states/eV per atom. Number 11: Fermi-level density of states 1.01 states/eV per atom. Number 12: Fermi-level density of states 1.11 states/eV per atom. Number 13: Fermi-level density of states 0.89 states/eV per atom. Number 14: Fermi-level density of states 0.88 states/eV per atom. Number 15: Fermi-level density of states 1.13 states/eV per atom. Number 16: Fermi-level density of states 0.91 states/eV per atom. Number 17: Fermi-level density of states 1.34 states/eV per atom. Number 18: Fermi-level density of states 0.56 states/eV per atom. Number 19: Fermi-level density of states 0.81 states/eV per atom. Number 20: Fermi-level density of states 0.48 states/eV per atom.